1.
# CeScPd (PBE-GGA, relaxed)
data_CeScPd
_cell_length_a 3.3722
_cell_length_b 3.3722
_cell_length_c 12.1464
_cell_angle_alpha 90.00
_cell_angle_beta 90.00
_cell_angle_gamma 90.00
_space_group_name_H-M_alt 'I 4 m m'
_space_group_IT_number 107
_space_group_name_Hall 'I 4 -2'
loop_
_atom_site_label
_atom_site_type_symbol
_atom_site_fract_x
_atom_site_fract_y
_atom_site_fract_z
_atom_site_occupancy
Ce1 Ce 0.0000 0.0000 0.0000 1
Sc1 Sc 0.0000 0.0000 0.2873 1
Pd1 Pd 0.0000 0.0000 0.6681 1
# Total moment in μB/f.u.: 1.4
# E_tot in eV/f.u.: -18.8
# Volume in Å³ per atom: 23.02
# Energy of formation from the pure elements in eV/atom: -0.446
# Energy above the most stable polymorph in this dataset in eV per atom: 0.040

=====

2.
# CeScPdSe3 (PBE-GGA, relaxed)
data_CeScPdSe3
_cell_length_a 7.5285
_cell_length_b 3.9172
_cell_length_c 9.3147
_cell_angle_alpha 90.00
_cell_angle_beta 104.14
_cell_angle_gamma 90.00
_space_group_name_H-M_alt 'P 1 21/m 1'
_space_group_IT_number 11
_space_group_name_Hall '-P 2yb'
loop_
_atom_site_label
_atom_site_type_symbol
_atom_site_fract_x
_atom_site_fract_y
_atom_site_fract_z
_atom_site_occupancy
Ce1 Ce 0.2169 0.2500 0.2847 1
Sc1 Sc 0.3131 0.7500 0.8253 1
Pd1 Pd 0.1053 0.2500 0.5960 1
Se1 Se 0.0731 0.2500 0.8608 1
Se2 Se 0.3057 0.7500 0.5342 1
Se3 Se 0.4212 0.7500 0.1370 1
# Formation energy without anion corrections in eV/atom: -1.4891
# Total moment in μB/f.u.: 0.9
# E_tot in eV/f.u.: -36.8
# Volume in Å³ per atom: 22.20

=====

3.
# Ce2ScPdSe5 (PBE-GGA, relaxed)
data_Ce2ScPdSe5
_cell_length_a 3.9786
_cell_length_b 16.9561
_cell_length_c 12.2499
_cell_angle_alpha 90.00
_cell_angle_beta 90.00
_cell_angle_gamma 90.00
_space_group_name_H-M_alt 'C m c 21'
_space_group_IT_number 36
_space_group_name_Hall 'C 2c -2'
loop_
_atom_site_label
_atom_site_type_symbol
_atom_site_fract_x
_atom_site_fract_y
_atom_site_fract_z
_atom_site_occupancy
Ce1 Ce 0.0000 0.1059 0.0000 1
Ce2 Ce 0.0000 0.1265 0.3521 1
Sc1 Sc 0.0000 0.1754 0.6732 1
Pd1 Pd 0.0000 0.4392 0.0749 1
Se1 Se 0.0000 0.0157 0.6821 1
Se2 Se 0.0000 0.2974 0.0121 1
Se3 Se 0.0000 0.3083 0.3303 1
Se4 Se 0.0000 0.3388 0.6723 1
Se5 Se 0.0000 0.5004 0.3921 1
# Formation energy without anion corrections in eV/atom: -1.5242
# Total moment in μB/f.u.: 1.3
# E_tot in eV/f.u.: -54.5
# Volume in Å³ per atom: 22.96

=====

4.
# CeScTlPd (PBE-GGA, relaxed)
data_CeScTlPd
_cell_length_a 7.2451
_cell_length_b 7.2451
_cell_length_c 7.2451
_cell_angle_alpha 90.00
_cell_angle_beta 90.00
_cell_angle_gamma 90.00
_space_group_name_H-M_alt 'F -4 3 m'
_space_group_IT_number 216
_space_group_name_Hall 'F -4 2 3'
loop_
_atom_site_label
_atom_site_type_symbol
_atom_site_fract_x
_atom_site_fract_y
_atom_site_fract_z
_atom_site_occupancy
Ce1 Ce 0.0000 0.0000 0.0000 1
Sc1 Sc 0.0000 0.0000 0.5000 1
Tl1 Tl 0.2500 0.2500 0.2500 1
Pd1 Pd 0.2500 0.2500 0.7500 1
# Total moment in μB/f.u.: 0.7
# E_tot in eV/f.u.: -21.4
# Volume in Å³ per atom: 23.77
# Energy of formation from the pure elements in eV/atom: -0.382

=====

5.
# CeSc2ZnPd4 (PBE-GGA, relaxed)
data_CeSc2ZnPd4
_cell_length_a 4.6095
_cell_length_b 4.6095
_cell_length_c 24.5477
_cell_angle_alpha 90.00
_cell_angle_beta 90.00
_cell_angle_gamma 120.00
_space_group_name_H-M_alt 'R -3 m'
_space_group_IT_number 166
_space_group_name_Hall '-R 3 2"'
loop_
_atom_site_label
_atom_site_type_symbol
_atom_site_fract_x
_atom_site_fract_y
_atom_site_fract_z
_atom_site_occupancy
Ce1 Ce 0.0000 0.0000 0.0000 1
Sc1 Sc 0.0000 0.0000 0.2379 1
Zn1 Zn 0.0000 0.0000 0.5000 1
Pd1 Pd 0.0000 0.0000 0.1265 1
Pd2 Pd 0.0000 0.0000 0.3939 1
# Total moment in μB/f.u.: 0.8
# E_tot in eV/f.u.: -46.4
# Volume in Å³ per atom: 18.82
# Energy of formation from the pure elements in eV/atom: -0.723

=====

6.
# Ce3PdSe6 (PBE-GGA, relaxed)
data_Ce3PdSe6
_cell_length_a 11.3561
_cell_length_b 13.8806
_cell_length_c 6.7167
_cell_angle_alpha 90.00
_cell_angle_beta 90.00
_cell_angle_gamma 90.00
_space_group_name_H-M_alt 'C m c 21'
_space_group_IT_number 36
_space_group_name_Hall 'C 2c -2'
loop_
_atom_site_label
_atom_site_type_symbol
_atom_site_fract_x
_atom_site_fract_y
_atom_site_fract_z
_atom_site_occupancy
Ce1 Ce 0.0000 0.1114 0.0000 1
Ce2 Ce 0.1746 0.3958 0.0928 1
Pd1 Pd 0.0000 0.3032 0.6819 1
Se1 Se 0.0000 0.2753 0.2907 1
Se2 Se 0.0000 0.4740 0.8049 1
Se3 Se 0.1622 0.0296 0.2956 1
Se4 Se 0.1821 0.2302 0.8337 1
# Formation energy without anion corrections in eV/atom: -1.4498
# Total moment in μB/f.u.: 0.4
# E_tot in eV/f.u.: -58.4
# Volume in Å³ per atom: 26.47